# 1
Computed, not measured: a relaxed structure of Ac2MnGa6Pd at the GGA-PBE level of DFT.

Summary:
The density of states at the Fermi level is 4.35 states/eV/f.u. The space group is P-1, No. 2. The calculation puts the calculated formation energy at -0.4289 eV/atom.

```
Ac2MnGa6Pd
1.0
7.101 0.010 0.312
0.001 6.494 0.015
3.775 3.268 4.952
Mn Ga Ac Pd
1 6 2 1
Direct
0.000 0.000 0.000
0.761 0.821 0.931
0.239 0.179 0.069
0.238 0.751 0.071
0.175 0.246 0.512
0.825 0.754 0.488
0.762 0.249 0.929
0.711 0.278 0.441
0.289 0.722 0.559
0.500 0.500 0.000
```

# 2
Computed, not measured: a relaxed structure of Ac3MnGa2Pd6 at the GGA-PBE level of DFT.

Summary:
The density of states at the Fermi level is 5.03 states/eV/f.u. The space group is P-3m1, No. 164. The calculation puts the calculated formation energy at -0.6002 eV/atom.

```
Ac3MnGa2Pd6
1.0
-4.033 -3.389 2.730
4.897 -2.463 -2.272
4.210 1.227 7.742
Ga Ac Pd Mn
2 3 6 1
Direct
0.667 0.333 0.959
0.333 0.667 0.041
0.667 0.333 0.372
0.000 0.000 0.000
0.333 0.667 0.628
0.174 0.348 0.284
0.348 0.174 0.716
0.174 0.826 0.284
0.652 0.826 0.284
0.826 0.174 0.716
0.826 0.652 0.716
0.000 0.000 0.500
```

# 3
Computed, not measured: a relaxed structure of Ac2MnGa3Pt4 at the GGA-PBE level of DFT.

Summary:
The density of states at the Fermi level is 5.03 states/eV/f.u. The space group is P-4m2, No. 115. The calculation puts the calculated formation energy at -0.8663 eV/atom.

```
Ac2MnGa3Pt4
1.0
-3.168 2.974 -0.750
-2.648 -2.110 2.824
3.738 5.997 7.985
Pt Ga Ac Mn
4 3 2 1
Direct
0.500 0.000 0.636
0.000 0.500 0.364
0.500 0.500 0.000
0.000 0.000 0.000
0.000 0.000 0.500
0.000 0.500 0.123
0.500 0.000 0.877
0.000 0.500 0.751
0.500 0.000 0.249
0.500 0.500 0.500
```

# 4
Computed, not measured: a relaxed structure of AcMnGaPt3 at the GGA-PBE level of DFT.

Summary:
The density of states at the Fermi level is 3.89 states/eV/f.u. The space group is Cmcm, No. 63. The calculation puts the calculated formation energy at -0.5610 eV/atom.

```
AcMnGaPt3
1.0
-0.603 -3.351 4.703
6.851 0.100 0.950
-3.994 5.054 3.090
Pt Ac Mn Ga
6 2 2 2
Direct
0.750 0.822 0.644
0.500 0.295 0.000
0.250 0.178 0.356
0.000 0.705 0.000
0.000 0.295 0.000
0.500 0.705 0.000
0.750 0.283 0.566
0.250 0.717 0.434
0.250 0.974 0.947
0.750 0.026 0.053
0.250 0.375 0.749
0.750 0.625 0.251
```

Number 1: E_tot -45.030 eV for the cell shown. Number 2: E_tot -65.908 eV for the cell shown. Number 3: E_tot -59.293 eV for the cell shown. Number 4: E_tot -75.587 eV for the cell shown.